i:
The following is a DFT calculation (PBE) of a relaxed structure of Na6Bi2Au.

```
data_Na6Bi2Au
_cell_length_a 5.848
_cell_length_b 9.587
_cell_length_c 9.936
_cell_angle_alpha 90.00
_cell_angle_beta 105.92
_cell_angle_gamma 90.00
_symmetry_space_group_name_H-M 'P 1 21/c 1'
_symmetry_Int_Tables_number 14
loop_
_symmetry_equiv_pos_as_xyz
'x,y,z'
'-x,-y,-z'
'-x,y+1/2,-z+1/2'
'x,-y+1/2,z+1/2'
loop_
_atom_site_label
_atom_site_type_symbol
_atom_site_fract_x
_atom_site_fract_y
_atom_site_fract_z
Na1 Na 0.054 0.171 0.062
Na2 Na 0.336 0.526 0.296
Na3 Na 0.435 0.170 0.429
Bi1 Bi 0.186 0.614 0.773
Au1 Au 0.000 0.000 0.500
```

Calculated volume ... 535.66 Å³ per cell
Crystal system ... monoclinic
M_tot ... 0.00 μB per formula unit



ii:
The following is a DFT calculation (PBE) of a relaxed structure of Na6Bi2Au.

```
data_Na6Bi2Au
_cell_length_a 5.4378
_cell_length_b 5.4378
_cell_length_c 31.3810
_cell_angle_alpha 90.00
_cell_angle_beta 90.00
_cell_angle_gamma 120.00
_symmetry_space_group_name_H-M 'R -3 m'
_symmetry_Int_Tables_number 166
_symmetry_space_group_name_Hall '-R 3 2"'
loop_
_atom_site_label
_atom_site_type_symbol
_atom_site_fract_x
_atom_site_fract_y
_atom_site_fract_z
Na1 Na 0.0000 0.0000 0.0796
Na2 Na 0.0000 0.0000 0.1973
Na3 Na 0.0000 0.0000 0.3052
Bi1 Bi 0.0000 0.0000 0.4104
Au1 Au 0.0000 0.0000 0.5000
```

Calculated volume ... 803.61 Å³ per cell
Crystal system ... trigonal
M_tot ... 0.00 μB per formula unit



Winner for stability: ii



i:
The following is a DFT calculation (PBE) of a relaxed structure of NaBi3Au2.

```
data_NaBi3Au2
_cell_length_a 4.722
_cell_length_b 8.915
_cell_length_c 7.688
_cell_angle_alpha 90.00
_cell_angle_beta 90.00
_cell_angle_gamma 90.00
_symmetry_space_group_name_H-M 'P m c 21'
_symmetry_Int_Tables_number 26
loop_
_symmetry_equiv_pos_as_xyz
'x,y,z'
'-x,-y,z+1/2'
'-x,y,z'
'x,-y,z+1/2'
loop_
_atom_site_label
_atom_site_type_symbol
_atom_site_fract_x
_atom_site_fract_y
_atom_site_fract_z
Na1 Na 0.000 0.067 0.000
Bi1 Bi 0.000 0.317 0.638
Bi2 Bi 0.500 0.184 0.315
Bi3 Bi 0.500 0.392 0.954
Au1 Au 0.000 0.362 0.219
Au2 Au 0.500 0.125 0.718
```

Calculated volume ... 323.63 Å³ per cell
Crystal system ... orthorhombic
M_tot ... 0.00 μB per formula unit



ii:
The following is a DFT calculation (PBE) of a relaxed structure of NaBi3Au2.

```
data_NaBi3Au2
_cell_length_a 17.020
_cell_length_b 4.960
_cell_length_c 8.330
_cell_angle_alpha 90.00
_cell_angle_beta 110.28
_cell_angle_gamma 90.00
_symmetry_space_group_name_H-M 'C 1 2/m 1'
_symmetry_Int_Tables_number 12
loop_
_symmetry_equiv_pos_as_xyz
'x,y,z'
'-x,-y,-z'
'-x,y,-z'
'x,-y,z'
'x+1/2,y+1/2,z'
'-x+1/2,-y+1/2,-z'
'-x+1/2,y+1/2,-z'
'x+1/2,-y+1/2,z'
loop_
_atom_site_label
_atom_site_type_symbol
_atom_site_fract_x
_atom_site_fract_y
_atom_site_fract_z
Na1 Na 0.100 0.000 0.159
Bi1 Bi 0.073 0.000 0.691
Bi2 Bi 0.113 0.500 0.461
Bi3 Bi 0.208 0.500 0.057
Au1 Au 0.028 0.500 0.860
Au2 Au 0.222 0.000 0.568
```

Calculated volume ... 659.59 Å³ per cell
Crystal system ... monoclinic
M_tot ... 0.00 μB per formula unit



Winner for stability: i



i:
The following is a DFT calculation (PBE) of a relaxed structure of Na2Bi3Au.

```
data_Na2Bi3Au
_cell_length_a 3.451
_cell_length_b 5.046
_cell_length_c 9.832
_cell_angle_alpha 90.00
_cell_angle_beta 90.00
_cell_angle_gamma 90.00
_symmetry_space_group_name_H-M 'P m m 2'
_symmetry_Int_Tables_number 25
loop_
_symmetry_equiv_pos_as_xyz
'x,y,z'
'-x,-y,z'
'-x,y,z'
'x,-y,z'
loop_
_atom_site_label
_atom_site_type_symbol
_atom_site_fract_x
_atom_site_fract_y
_atom_site_fract_z
Na1 Na 0.000 0.000 0.000
Na2 Na 0.000 0.500 0.442
Bi1 Bi 0.500 0.000 0.602
Bi2 Bi 0.500 0.500 0.151
Bi3 Bi 0.500 0.500 0.815
Au1 Au 0.500 0.000 0.304
```

Calculated volume ... 171.23 Å³ per cell
Crystal system ... orthorhombic
M_tot ... 0.00 μB per formula unit



ii:
The following is a DFT calculation (PBE) of a relaxed structure of Na2Bi3Au.

```
data_Na2Bi3Au
_cell_length_a 6.506
_cell_length_b 10.881
_cell_length_c 18.871
_cell_angle_alpha 90.00
_cell_angle_beta 90.00
_cell_angle_gamma 90.00
_symmetry_space_group_name_H-M 'F m m m'
_symmetry_Int_Tables_number 69
_symmetry_space_group_name_Hall '-F 2 2'
loop_
_atom_site_label
_atom_site_type_symbol
_atom_site_fract_x
_atom_site_fract_y
_atom_site_fract_z
Na1 Na 0.247 0.000 0.000
Na2 Na 0.250 0.250 0.250
Bi1 Bi 0.000 0.000 0.176
Bi2 Bi 0.000 0.232 0.410
Au1 Au 0.000 0.000 0.329
```

Calculated volume ... 1335.90 Å³ per cell
Crystal system ... orthorhombic
M_tot ... 0.00 μB per formula unit



Winner for stability: i